# 1
# Ca2ZnAgPb | Alexandria | PBE | optimized geometry
data_Ca2ZnAgPb
_cell_length_a 5.7741
_cell_length_b 5.7741
_cell_length_c 5.2494
_cell_angle_alpha 90.00
_cell_angle_beta 90.00
_cell_angle_gamma 90.00
_space_group_name_H-M_alt 'P 4/m m m'
_space_group_IT_number 123
_space_group_name_Hall '-P 4 2'
loop_
_atom_site_label
_atom_site_type_symbol
_atom_site_fract_x
_atom_site_fract_y
_atom_site_fract_z
_atom_site_occupancy
Ca1 Ca 0.0000 0.5000 0.0000 1
Zn1 Zn 0.0000 0.0000 0.5000 1
Ag1 Ag 0.5000 0.5000 0.0000 1
Pb1 Pb 0.5000 0.5000 0.5000 1
# Energy = -2.265 eV/atom
# ΔH_f (0 K) = 102 meV/atom
# Size of the total moment = 0.0 μB per cell

---

# 2
# CePu3S4 | Alexandria | PBE | optimized geometry
data_CePu3S4
_cell_length_a 7.9593
_cell_length_b 11.2626
_cell_length_c 3.9816
_cell_angle_alpha 90.00
_cell_angle_beta 90.00
_cell_angle_gamma 90.00
_space_group_name_H-M_alt 'C m m m'
_space_group_IT_number 65
_space_group_name_Hall '-C 2 2'
loop_
_atom_site_label
_atom_site_type_symbol
_atom_site_fract_x
_atom_site_fract_y
_atom_site_fract_z
_atom_site_occupancy
Ce1 Ce 0.0000 0.0000 0.0000 1
Pu1 Pu 0.0000 0.5000 0.0000 1
Pu2 Pu 0.2500 0.2500 0.5000 1
S1 S 0.0000 0.2531 0.0000 1
S2 S 0.2440 0.5000 0.5000 1
# Energy = -10.008 eV/atom
# Raw formation energy = -176 kJ per mole of atoms
# Size of the total moment = 35.8 μB per cell

---

# 3
# Pu3MnTl3S8 | Alexandria | PBE | optimized geometry
data_Pu3MnTl3S8
_cell_length_a 13.8285
_cell_length_b 7.8434
_cell_length_c 8.8333
_cell_angle_alpha 90.00
_cell_angle_beta 121.56
_cell_angle_gamma 90.00
_space_group_name_H-M_alt 'C 1 2/m 1'
_space_group_IT_number 12
_space_group_name_Hall '-C 2y'
loop_
_atom_site_label
_atom_site_type_symbol
_atom_site_fract_x
_atom_site_fract_y
_atom_site_fract_z
_atom_site_occupancy
Pu1 Pu 0.0000 0.0000 0.0000 1
Pu2 Pu 0.2500 0.2500 0.0000 1
Mn1 Mn 0.0000 0.5000 0.0000 1
Tl1 Tl 0.0000 0.5000 0.5000 1
Tl2 Tl 0.2500 0.2500 0.5000 1
S1 S 0.0160 0.2755 0.8212 1
S2 S 0.2336 0.0000 0.1996 1
S3 S 0.2356 0.5000 0.1948 1
# Energy = -7.175 eV/atom
# Raw formation energy = -99 kJ per mole of atoms
# Size of the total moment = 17.0 μB per cell

---

# 4
# Co3BiIr | Alexandria | PBE | optimized geometry
data_Co3BiIr
_cell_length_a 4.6078
_cell_length_b 4.6078
_cell_length_c 4.6078
_cell_angle_alpha 90.00
_cell_angle_beta 90.00
_cell_angle_gamma 90.00
_space_group_name_H-M_alt 'P m -3 m'
_space_group_IT_number 221
_space_group_name_Hall '-P 4 2 3'
loop_
_atom_site_label
_atom_site_type_symbol
_atom_site_fract_x
_atom_site_fract_y
_atom_site_fract_z
_atom_site_occupancy
Co1 Co 0.0000 0.0000 0.5000 1
Bi1 Bi 0.5000 0.5000 0.5000 1
Ir1 Ir 0.0000 0.0000 0.0000 1
# Energy = -5.738 eV/atom
# ΔH_f (0 K) = 1074 meV/atom
# Distance to the lowest polymorph of the same formula = 0 meV per atom
# Size of the total moment = 6.2 μB per cell

---

# 5
# ZnSeF | Alexandria | PBE | optimized geometry
data_ZnSeF
_cell_length_a 2.9464
_cell_length_b 12.3985
_cell_length_c 6.0551
_cell_angle_alpha 90.00
_cell_angle_beta 90.00
_cell_angle_gamma 90.00
_space_group_name_H-M_alt 'C m c 21'
_space_group_IT_number 36
_space_group_name_Hall 'C 2c -2'
loop_
_atom_site_label
_atom_site_type_symbol
_atom_site_fract_x
_atom_site_fract_y
_atom_site_fract_z
_atom_site_occupancy
Zn1 Zn 0.0000 0.1753 0.0000 1
Se1 Se 0.0000 0.3591 0.8369 1
F1 F 0.0000 0.0750 0.7738 1
# Energy = -3.151 eV/atom
# Raw formation energy = -91 kJ per mole of atoms
# Distance to the lowest polymorph of the same formula = 380 meV per atom
# Size of the total moment = 0.0 μB per cell

---

# 6
# CaHgAs | Alexandria | PBE | optimized geometry
data_CaHgAs
_cell_length_a 4.4772
_cell_length_b 4.4772
_cell_length_c 4.4253
_cell_angle_alpha 90.00
_cell_angle_beta 90.00
_cell_angle_gamma 120.00
_space_group_name_H-M_alt 'P 3 m 1'
_space_group_IT_number 156
_space_group_name_Hall 'P 3 -2"'
loop_
_atom_site_label
_atom_site_type_symbol
_atom_site_fract_x
_atom_site_fract_y
_atom_site_fract_z
_atom_site_occupancy
Ca1 Ca 0.0000 0.0000 0.0000 1
Hg1 Hg 0.6667 0.3333 0.4041 1
As1 As 0.3333 0.6667 0.6336 1
# Energy = -2.865 eV/atom
# ΔH_f (0 K) = -548 meV/atom
# Distance to the lowest polymorph of the same formula = 43 meV per atom
# Size of the total moment = 0.0 μB per cell

---

# 7
# ZrReSN2 | Alexandria | PBE | optimized geometry
data_ZrReSN2
_cell_length_a 4.0726
_cell_length_b 4.0726
_cell_length_c 5.3381
_cell_angle_alpha 90.00
_cell_angle_beta 90.00
_cell_angle_gamma 90.00
_space_group_name_H-M_alt 'P 4/m m m'
_space_group_IT_number 123
_space_group_name_Hall '-P 4 2'
loop_
_atom_site_label
_atom_site_type_symbol
_atom_site_fract_x
_atom_site_fract_y
_atom_site_fract_z
_atom_site_occupancy
Zr1 Zr 0.0000 0.0000 0.0000 1
Re1 Re 0.5000 0.5000 0.5000 1
S1 S 0.0000 0.0000 0.5000 1
N1 N 0.0000 0.5000 0.0000 1
# Energy = -7.219 eV/atom
# Raw formation energy = 110 kJ per mole of atoms
# Size of the total moment = 4.0 μB per cell

---

# 8
# ZnFe3 | Alexandria | PBE | optimized geometry
data_ZnFe3
_cell_length_a 4.5641
_cell_length_b 8.4011
_cell_length_c 5.0857
_cell_angle_alpha 90.00
_cell_angle_beta 90.00
_cell_angle_gamma 90.00
_space_group_name_H-M_alt 'P n m a'
_space_group_IT_number 62
_space_group_name_Hall '-P 2ac 2n'
loop_
_atom_site_label
_atom_site_type_symbol
_atom_site_fract_x
_atom_site_fract_y
_atom_site_fract_z
_atom_site_occupancy
Zn1 Zn 0.0668 0.2500 0.1196 1
Fe1 Fe 0.0617 0.2500 0.6240 1
Fe2 Fe 0.2494 0.9999 0.8700 1
# Energy = -6.579 eV/atom
# ΔH_f (0 K) = 87 meV/atom
# Size of the total moment = 28.7 μB per cell

---

# 9
# TiSn3Ge | Alexandria | PBE | optimized geometry
data_TiSn3Ge
_cell_length_a 5.2824
_cell_length_b 5.2824
_cell_length_c 5.2824
_cell_angle_alpha 90.00
_cell_angle_beta 90.00
_cell_angle_gamma 90.00
_space_group_name_H-M_alt 'P m -3 m'
_space_group_IT_number 221
_space_group_name_Hall '-P 4 2 3'
loop_
_atom_site_label
_atom_site_type_symbol
_atom_site_fract_x
_atom_site_fract_y
_atom_site_fract_z
_atom_site_occupancy
Ti1 Ti 0.0000 0.0000 0.0000 1
Sn1 Sn 0.0000 0.0000 0.5000 1
Ge1 Ge 0.5000 0.5000 0.5000 1
# Energy = -4.463 eV/atom
# ΔH_f (0 K) = 441 meV/atom
# Distance to the lowest polymorph of the same formula = 0 meV per atom
# Size of the total moment = 0.0 μB per cell

---

# 10
# La5BN8 | Alexandria | PBE | optimized geometry
data_La5BN8
_cell_length_a 6.9610
_cell_length_b 6.9610
_cell_length_c 9.0542
_cell_angle_alpha 90.00
_cell_angle_beta 90.00
_cell_angle_gamma 90.00
_space_group_name_H-M_alt 'I -4'
_space_group_IT_number 82
_space_group_name_Hall 'I -4'
loop_
_atom_site_label
_atom_site_type_symbol
_atom_site_fract_x
_atom_site_fract_y
_atom_site_fract_z
_atom_site_occupancy
La1 La 0.0000 0.0000 0.0000 1
La2 La 0.1234 0.7400 0.3797 1
B1 B 0.0000 0.5000 0.7500 1
N1 N 0.0642 0.7035 0.6943 1
N2 N 0.0872 0.7017 0.1146 1
# Energy = -7.384 eV/atom
# Raw formation energy = -38 kJ per mole of atoms
# Size of the total moment = 0.0 μB per cell

---

# 11
# PmDy2Lu | Alexandria | PBE | optimized geometry
data_PmDy2Lu
_cell_length_a 3.5439
_cell_length_b 3.5439
_cell_length_c 10.0642
_cell_angle_alpha 90.00
_cell_angle_beta 90.00
_cell_angle_gamma 90.00
_space_group_name_H-M_alt 'P 4/m m m'
_space_group_IT_number 123
_space_group_name_Hall '-P 4 2'
loop_
_atom_site_label
_atom_site_type_symbol
_atom_site_fract_x
_atom_site_fract_y
_atom_site_fract_z
_atom_site_occupancy
Pm1 Pm 0.0000 0.0000 0.0000 1
Dy1 Dy 0.5000 0.5000 0.2560 1
Lu1 Lu 0.0000 0.0000 0.5000 1
# Energy = -4.593 eV/atom
# ΔH_f (0 K) = 26 meV/atom
# Distance to the lowest polymorph of the same formula = 3 meV per atom
# Size of the total moment = 0.0 μB per cell

---

# 12
# Na2AgSnH | Alexandria | PBE | optimized geometry
data_Na2AgSnH
_cell_length_a 4.6205
_cell_length_b 4.6205
_cell_length_c 4.6117
_cell_angle_alpha 90.00
_cell_angle_beta 90.00
_cell_angle_gamma 90.00
_space_group_name_H-M_alt 'P 4/m m m'
_space_group_IT_number 123
_space_group_name_Hall '-P 4 2'
loop_
_atom_site_label
_atom_site_type_symbol
_atom_site_fract_x
_atom_site_fract_y
_atom_site_fract_z
_atom_site_occupancy
Na1 Na 0.0000 0.5000 0.0000 1
Ag1 Ag 0.0000 0.0000 0.5000 1
Sn1 Sn 0.5000 0.5000 0.5000 1
H1 H 0.5000 0.5000 0.0000 1
# Energy = -2.532 eV/atom
# Distance to the lowest polymorph of the same formula = 45 meV per atom
# Size of the total moment = 0.0 μB per cell